Entry 1:
Computed, not measured: crystalline AcGd2Pa at its relaxed geometry at the PBE level of DFT.

Geometry as CIF:
```
data_AcGd2Pa
_chemical_formula_sum 'Ac1 Gd2 Pa1'
_cell_length_a 3.463
_cell_length_b 3.463
_cell_length_c 12.739
_cell_angle_alpha 82.19
_cell_angle_beta 82.19
_cell_angle_gamma 60.00
_symmetry_space_group_name_H-M 'P 1'
_symmetry_Int_Tables_number 1
loop_
_symmetry_equiv_pos_as_xyz
'x,y,z'
loop_
_atom_site_label
_atom_site_type_symbol
_atom_site_fract_x
_atom_site_fract_y
_atom_site_fract_z
Pa1 Pa 0.000 0.000 0.000
Ac1 Ac 0.500 0.500 0.500
Gd1 Gd 0.084 0.084 0.747
Gd2 Gd 0.916 0.916 0.253
```

**Crystal system**: trigonal
**N(E_F)**: 6.850 states/eV/f.u.
**E_form**: 0.43 eV per atom

---

Entry 2:
Computed, not measured: crystalline CaAs2Pb at its relaxed geometry at the PBE level of DFT.

Geometry as CIF:
```
data_CaAs2Pb
_chemical_formula_sum 'Ca1 As2 Pb1'
_cell_length_a 4.907
_cell_length_b 4.907
_cell_length_c 4.048
_cell_angle_alpha 90.00
_cell_angle_beta 90.00
_cell_angle_gamma 90.00
_symmetry_space_group_name_H-M 'P 1'
_symmetry_Int_Tables_number 1
loop_
_symmetry_equiv_pos_as_xyz
'x,y,z'
loop_
_atom_site_label
_atom_site_type_symbol
_atom_site_fract_x
_atom_site_fract_y
_atom_site_fract_z
Ca1 Ca 0.500 0.000 0.500
Pb1 Pb 0.000 0.500 0.500
As1 As 0.000 0.000 0.000
As2 As 0.500 0.500 0.000
```

**Crystal system**: tetragonal
**N(E_F)**: 1.548 states/eV/f.u.
**E_form**: -0.39 eV per atom

---

Entry 3:
Computed, not measured: crystalline FeTcBr at its relaxed geometry at the PBE level of DFT.

Geometry as CIF:
```
data_FeTcBr
_chemical_formula_sum 'Fe1 Tc1 Br1'
_cell_length_a 4.301
_cell_length_b 4.301
_cell_length_c 2.937
_cell_angle_alpha 90.00
_cell_angle_beta 90.00
_cell_angle_gamma 120.00
_symmetry_space_group_name_H-M 'P 1'
_symmetry_Int_Tables_number 1
loop_
_symmetry_equiv_pos_as_xyz
'x,y,z'
loop_
_atom_site_label
_atom_site_type_symbol
_atom_site_fract_x
_atom_site_fract_y
_atom_site_fract_z
Br1 Br 0.000 0.000 0.834
Fe1 Fe 0.667 0.333 0.333
Tc1 Tc 0.333 0.667 0.833
```

**Crystal system**: hexagonal
**Energy**: -5.919 eV per atom
**N(E_F)**: 3.787 states/eV/f.u.

---

Entry 4:
Computed, not measured: crystalline ZrNiW2 at its relaxed geometry at the PBE level of DFT.

Geometry as CIF:
```
data_ZrNiW2
_chemical_formula_sum 'Zr2 Ni2 W4'
_cell_length_a 3.719
_cell_length_b 3.719
_cell_length_c 10.483
_cell_angle_alpha 79.78
_cell_angle_beta 79.78
_cell_angle_gamma 90.00
_symmetry_space_group_name_H-M 'P 1'
_symmetry_Int_Tables_number 1
loop_
_symmetry_equiv_pos_as_xyz
'x,y,z'
loop_
_atom_site_label
_atom_site_type_symbol
_atom_site_fract_x
_atom_site_fract_y
_atom_site_fract_z
W1 W 0.124 0.625 0.250
W2 W 0.626 0.125 0.250
W3 W 0.875 0.876 0.750
W4 W 0.375 0.374 0.750
Zr1 Zr 0.750 0.250 0.500
Zr2 Zr 0.000 0.000 0.000
Ni1 Ni 0.500 0.500 0.000
Ni2 Ni 0.250 0.750 0.500
```

**Crystal system**: tetragonal
**N(E_F)**: 4.239 states/eV/f.u.
**E_form**: 0.54 eV per atom

---

Entry 5:
Computed, not measured: crystalline PaAgSeO6 at its relaxed geometry at the PBE level of DFT.

Geometry as CIF:
```
data_PaAgSeO6
_chemical_formula_sum 'Pa2 Ag2 Se2 O12'
_cell_length_a 5.514
_cell_length_b 5.514
_cell_length_c 9.792
_cell_angle_alpha 90.00
_cell_angle_beta 90.00
_cell_angle_gamma 120.00
_symmetry_space_group_name_H-M 'P 1'
_symmetry_Int_Tables_number 1
loop_
_symmetry_equiv_pos_as_xyz
'x,y,z'
loop_
_atom_site_label
_atom_site_type_symbol
_atom_site_fract_x
_atom_site_fract_y
_atom_site_fract_z
O1 O 0.652 0.602 0.144
O2 O 0.950 0.348 0.144
O3 O 0.348 0.950 0.644
O4 O 0.652 0.050 0.356
O5 O 0.050 0.398 0.644
O6 O 0.050 0.652 0.856
O7 O 0.398 0.050 0.144
O8 O 0.602 0.652 0.644
O9 O 0.348 0.398 0.856
O10 O 0.950 0.602 0.356
O11 O 0.602 0.950 0.856
O12 O 0.398 0.348 0.356
Ag1 Ag 0.000 0.000 0.000
Ag2 Ag 0.000 0.000 0.500
Se1 Se 0.333 0.667 0.750
Se2 Se 0.667 0.333 0.250
Pa1 Pa 0.667 0.333 0.750
Pa2 Pa 0.333 0.667 0.250
```

**Crystal system**: trigonal
**Energy**: -6.547 eV per atom

---

Entry 6:
Computed, not measured: crystalline NbGeRh at its relaxed geometry at the PBE level of DFT.

Geometry as CIF:
```
data_NbGeRh
_chemical_formula_sum 'Nb1 Ge1 Rh1'
_cell_length_a 2.966
_cell_length_b 2.966
_cell_length_c 5.698
_cell_angle_alpha 105.09
_cell_angle_beta 105.09
_cell_angle_gamma 90.00
_symmetry_space_group_name_H-M 'P 1'
_symmetry_Int_Tables_number 1
loop_
_symmetry_equiv_pos_as_xyz
'x,y,z'
loop_
_atom_site_label
_atom_site_type_symbol
_atom_site_fract_x
_atom_site_fract_y
_atom_site_fract_z
Nb1 Nb 0.620 0.620 0.240
Ge1 Ge 0.295 0.295 0.590
Rh1 Rh 0.935 0.935 0.869
```

**Crystal system**: tetragonal
**N(E_F)**: 1.256 states/eV/f.u.
**E_form**: -0.43 eV per atom

---

Magnetization (computed, Bohr magnetons per cell): 14.43; 0.00; 2.68; 0.00; 0.00; 0.00
Mass density (computed, kg/m³): 9820; 6765; 8250; 12250; 6620; 9562